## Sc2TcMo (PBE)

Data for crystalline Sc2TcMo at its relaxed geometry.

a = 5.3217 Å, b = 5.3217 Å, c = 2.8998 Å
α = 100.57°, β = 100.57°, γ = 114.45°
Closest atoms and distances in Å follow each position.
Element x y z (fractional)
Sc (0.0000, 0.5000, 0.0000)  2 Mo 2.79, 2 Tc 2.79, 4 Sc 2.88-2.90
Sc (0.5000, 0.0000, 0.0000)  2 Mo 2.79, 2 Tc 2.79, 4 Sc 2.88-2.90
Tc (0.0000, 0.0000, 0.5000)  4 Sc 2.79, 2 Mo 2.88, 2 Tc 2.90
Mo (0.5000, 0.5000, 0.5000)  4 Sc 2.79, 2 Tc 2.88, 2 Mo 2.90

* energy: -33.51 eV/cell
* space-group type: C2/m (12)


## RbCeSiO5 (PBE)

Data for crystalline RbCeSiO5 at its relaxed geometry.

a = 6.2602 Å, b = 6.2602 Å, c = 8.1197 Å
α = 104.73°, β = 104.73°, γ = 106.32°
Closest atoms and distances in Å follow each position.
Element x y z (fractional)
Rb (0.1666, 0.8334, 0.7500)  7 O 2.76-3.07
Rb (0.8334, 0.1666, 0.2500)  7 O 2.76-3.07
Ce (0.5000, 0.5000, 0.0000)  6 O 2.11-2.35
Ce (0.5000, 0.5000, 0.5000)  6 O 2.11-2.35
Si (0.1903, 0.8097, 0.2500)  4 O 1.65
Si (0.8097, 0.1903, 0.7500)  4 O 1.65
O (0.0906, 0.2727, 0.8778)  1 Si 1.65
O (0.2168, 0.6458, 0.3793)  1 Si 1.65
O (0.2727, 0.0906, 0.3778)  1 Si 1.65
O (0.3542, 0.7832, 0.1207)  1 Si 1.65
O (0.4424, 0.5576, 0.7500)  2 Ce 2.11
O (0.5576, 0.4424, 0.2500)  2 Ce 2.11
O (0.6458, 0.2168, 0.8793)  1 Si 1.65
O (0.7273, 0.9094, 0.6222)  1 Si 1.65
O (0.7832, 0.3542, 0.6207)  1 Si 1.65
O (0.9094, 0.7273, 0.1222)  1 Si 1.65

* formation energy (no corrections): -2.523 eV/atom
* space-group type: C2/c (15)


## SrCd (PBE)

Data for crystalline SrCd at its relaxed geometry.

a = 9.3443 Å, b = 9.3443 Å, c = 9.3443 Å
α = 90.00°, β = 90.00°, γ = 90.00°
Closest atoms and distances in Å follow each position.
Element x y z (fractional)
Sr (0.0000, 0.2500, 0.5000)  4 Cd 3.30
Sr (0.0000, 0.7500, 0.5000)  4 Cd 3.30
Sr (0.2500, 0.5000, 0.0000)  4 Cd 3.30
Sr (0.5000, 0.0000, 0.2500)  4 Cd 3.30
Sr (0.5000, 0.0000, 0.7500)  4 Cd 3.30
Sr (0.7500, 0.5000, 0.0000)  4 Cd 3.30
Cd (0.0000, 0.5000, 0.2500)  4 Sr 3.30
Cd (0.0000, 0.5000, 0.7500)  4 Sr 3.30
Cd (0.2500, 0.0000, 0.5000)  4 Sr 3.30
Cd (0.5000, 0.2500, 0.0000)  4 Sr 3.30
Cd (0.5000, 0.7500, 0.0000)  4 Sr 3.30
Cd (0.7500, 0.0000, 0.5000)  4 Sr 3.30

* energy: -11.37 eV/cell
* space-group type: Pm-3n (223)


## AgAu2N (PBE)

Data for crystalline AgAu2N at its relaxed geometry.

a = 7.0551 Å, b = 7.0551 Å, c = 7.0551 Å
α = 135.80°, β = 135.80°, γ = 64.28°
Closest atoms and distances in Å follow each position.
Element x y z (fractional)
Ag (0.0000, 0.0000, 0.0000)  4 Au 2.97
Ag (0.7500, 0.2500, 0.5000)  4 Au 2.97
Au (0.2888, 0.6250, 0.1638)  2 N 2.05
Au (0.3750, 0.5388, 0.6638)  2 N 2.05
Au (0.4612, 0.1250, 0.8362)  2 N 2.05
Au (0.8750, 0.7112, 0.3362)  2 N 2.05
N (0.2500, 0.7500, 0.5000)  4 Au 2.05
N (0.5000, 0.5000, 0.0000)  4 Au 2.05

* formation energy (no corrections): 0.787 eV/atom
* space-group type: I-42d (122)


## USO2 (PBE)

Data for crystalline USO2 at its relaxed geometry.

a = 5.7220 Å, b = 5.7220 Å, c = 3.3727 Å
α = 90.00°, β = 90.00°, γ = 126.22°
Closest atoms and distances in Å follow each position.
Element x y z (fractional)
U (0.0000, 0.0000, 0.0000)  4 O 2.09
S (0.5000, 0.5000, 0.0000)  2 U 2.59
O (0.1205, 0.8795, 0.5000)  2 U 2.09
O (0.8795, 0.1205, 0.5000)  2 U 2.09

* formation energy (no corrections): -2.234 eV/atom
* space-group type: Cmmm (65)


## Rb2Hg5Au2 (PBE)

Data for crystalline Rb2Hg5Au2 at its relaxed geometry.

a = 4.9675 Å, b = 4.9675 Å, c = 11.5204 Å
α = 90.00°, β = 90.00°, γ = 90.00°
Closest atoms and distances in Å follow each position.
Element x y z (fractional)
Rb (0.0000, 0.0000, 0.0000)  12 Hg 3.51-3.69
Rb (0.0000, 0.0000, 0.5000)  8 Au 3.77, 8 Hg 3.92
Hg (0.0000, 0.5000, 0.2373)  2 Au 2.98
Hg (0.0000, 0.5000, 0.7627)  2 Au 2.98
Hg (0.5000, 0.0000, 0.2373)  2 Au 2.98
Hg (0.5000, 0.0000, 0.7627)  2 Au 2.98
Hg (0.5000, 0.5000, 0.0000)  4 Rb 3.51, 8 Hg 3.69
Au (0.5000, 0.5000, 0.3809)  1 Au 2.74, 4 Hg 2.98
Au (0.5000, 0.5000, 0.6191)  1 Au 2.74, 4 Hg 2.98

* energy: -11.52 eV/cell
* space-group type: P4/mmm (123)


## V2SnPd9 (PBE)

Data for crystalline V2SnPd9 at its relaxed geometry.

a = 3.9418 Å, b = 3.9418 Å, c = 11.8699 Å
α = 90.00°, β = 90.00°, γ = 90.00°
Closest atoms and distances in Å follow each position.
Element x y z (fractional)
V (0.0000, 0.0000, 0.1644)  12 Pd 2.73-2.79
V (0.0000, 0.0000, 0.8356)  12 Pd 2.73-2.79
Sn (0.0000, 0.0000, 0.5000)  12 Pd 2.79-2.88
Pd (0.0000, 0.5000, 0.0000)  8 Pd 2.76-2.79, 4 V 2.77
Pd (0.0000, 0.5000, 0.3231)  2 V 2.73, 8 Pd 2.74-2.88, 2 Sn 2.88
Pd (0.0000, 0.5000, 0.6769)  2 V 2.73, 8 Pd 2.74-2.88, 2 Sn 2.88
Pd (0.5000, 0.0000, 0.0000)  8 Pd 2.76-2.79, 4 V 2.77
Pd (0.5000, 0.0000, 0.3231)  2 V 2.73, 8 Pd 2.74-2.88, 2 Sn 2.88
Pd (0.5000, 0.0000, 0.6769)  2 V 2.73, 8 Pd 2.74-2.88, 2 Sn 2.88
Pd (0.5000, 0.5000, 0.1622)  8 Pd 2.74-2.76, 4 V 2.79
Pd (0.5000, 0.5000, 0.5000)  4 Sn 2.79, 8 Pd 2.88
Pd (0.5000, 0.5000, 0.8378)  8 Pd 2.74-2.76, 4 V 2.79

* energy: -72.74 eV/cell
* space-group type: P4/mmm (123)


## Er2Zn2InPd5 (PBE)

Data for crystalline Er2Zn2InPd5 at its relaxed geometry.

a = 9.7166 Å, b = 9.7166 Å, c = 3.8036 Å
α = 90.00°, β = 90.00°, γ = 90.00°
Closest atoms and distances in Å follow each position.
Element x y z (fractional)
Er (0.1758, 0.3242, 0.0000)  3 Zn 2.80-2.93, 2 Pd 3.07
Er (0.3242, 0.8242, 0.0000)  3 Zn 2.80-2.93, 2 Pd 3.07
Er (0.6758, 0.1758, 0.0000)  3 Zn 2.80-2.93, 2 Pd 3.07
Er (0.8242, 0.6758, 0.0000)  3 Zn 2.80-2.93, 2 Pd 3.07
Zn (0.1206, 0.6206, 0.0000)  6 Pd 2.52-2.58, 1 Er 2.80
Zn (0.3794, 0.1206, 0.0000)  6 Pd 2.52-2.58, 1 Er 2.80
Zn (0.6206, 0.8794, 0.0000)  6 Pd 2.52-2.58, 1 Er 2.80
Zn (0.8794, 0.3794, 0.0000)  6 Pd 2.52-2.58, 1 Er 2.80
In (0.0000, 0.0000, 0.0000)  8 Pd 2.85
In (0.5000, 0.5000, 0.0000)  8 Pd 2.85
Pd (0.0000, 0.5000, 0.5000)  4 Zn 2.52
Pd (0.0688, 0.7925, 0.5000)  2 Zn 2.58, 2 In 2.85
Pd (0.2075, 0.0688, 0.5000)  2 Zn 2.58, 2 In 2.85
Pd (0.2925, 0.5688, 0.5000)  2 Zn 2.58, 2 In 2.85
Pd (0.4312, 0.2925, 0.5000)  2 Zn 2.58, 2 In 2.85
Pd (0.5000, 0.0000, 0.5000)  4 Zn 2.52
Pd (0.5688, 0.7075, 0.5000)  2 Zn 2.58, 2 In 2.85
Pd (0.7075, 0.4312, 0.5000)  2 Zn 2.58, 2 In 2.85
Pd (0.7925, 0.9312, 0.5000)  2 Zn 2.58, 2 In 2.85
Pd (0.9312, 0.2075, 0.5000)  2 Zn 2.58, 2 In 2.85

* energy: -95.10 eV/cell
* space-group type: P4/mbm (127)


## Li6MgZn5 (PBE)

Data for crystalline Li6MgZn5 at its relaxed geometry.

a = 6.7999 Å, b = 6.7999 Å, c = 6.7525 Å
α = 90.26°, β = 90.26°, γ = 143.27°
Closest atoms and distances in Å follow each position.
Element x y z (fractional)
Li (0.0005, 0.0005, 0.2652)  6 Zn 2.65-2.82, 2 Mg 2.77-2.81
Li (0.3276, 0.6706, 0.2612)  7 Zn 2.66-2.80, 1 Mg 2.83, 2 Li 2.95
Li (0.3294, 0.6724, 0.7388)  7 Zn 2.66-2.80, 1 Mg 2.83, 2 Li 2.95
Li (0.6706, 0.3276, 0.2612)  7 Zn 2.66-2.80, 1 Mg 2.83, 2 Li 2.95
Li (0.6724, 0.3294, 0.7388)  7 Zn 2.66-2.80, 1 Mg 2.83, 2 Li 2.95
Li (0.9995, 0.9995, 0.7348)  6 Zn 2.65-2.82, 2 Mg 2.77-2.81
Mg (0.5000, 0.5000, 0.0000)  8 Li 2.77-2.83, 4 Zn 3.05
Zn (0.1645, 0.8355, 0.5000)  8 Li 2.65-2.70
Zn (0.1687, 0.8313, 0.0000)  8 Li 2.71-2.82, 2 Zn 3.00
Zn (0.5000, 0.5000, 0.5000)  8 Li 2.65-2.74
Zn (0.8313, 0.1687, 0.0000)  8 Li 2.71-2.82, 2 Zn 3.00
Zn (0.8355, 0.1645, 0.5000)  8 Li 2.65-2.70

* energy: -20.96 eV/cell
* space-group type: C2/m (12)


## U2TaBe2Ru5 (PBE)

Data for crystalline U2TaBe2Ru5 at its relaxed geometry.

a = 9.7342 Å, b = 9.7342 Å, c = 3.1864 Å
α = 90.00°, β = 90.00°, γ = 90.00°
Closest atoms and distances in Å follow each position.
Element x y z (fractional)
U (0.1744, 0.3256, 0.0000)  3 Be 2.82-2.92, 10 Ru 2.88-3.09
U (0.3256, 0.8256, 0.0000)  3 Be 2.82-2.92, 10 Ru 2.88-3.09
U (0.6744, 0.1744, 0.0000)  3 Be 2.82-2.92, 10 Ru 2.88-3.09
U (0.8256, 0.6744, 0.0000)  3 Be 2.82-2.92, 10 Ru 2.88-3.09
Ta (0.0000, 0.0000, 0.0000)  8 Ru 2.70
Ta (0.5000, 0.5000, 0.0000)  8 Ru 2.70
Be (0.1210, 0.6210, 0.0000)  6 Ru 2.30-2.33
Be (0.3790, 0.1210, 0.0000)  6 Ru 2.30-2.33
Be (0.6210, 0.8790, 0.0000)  6 Ru 2.30-2.33
Be (0.8790, 0.3790, 0.0000)  6 Ru 2.30-2.33
Ru (0.0000, 0.5000, 0.5000)  4 Be 2.30
Ru (0.0729, 0.7883, 0.5000)  2 Be 2.33
Ru (0.2117, 0.0729, 0.5000)  2 Be 2.33
Ru (0.2883, 0.5729, 0.5000)  2 Be 2.33
Ru (0.4271, 0.2883, 0.5000)  2 Be 2.33
Ru (0.5000, 0.0000, 0.5000)  4 Be 2.30
Ru (0.5729, 0.7117, 0.5000)  2 Be 2.33
Ru (0.7117, 0.4271, 0.5000)  2 Be 2.33
Ru (0.7883, 0.9271, 0.5000)  2 Be 2.33
Ru (0.9271, 0.2117, 0.5000)  2 Be 2.33

* energy: -184.72 eV/cell
* space-group type: P4/mbm (127)


## La2TbNd4Dy (PBE)

Data for crystalline La2TbNd4Dy at its relaxed geometry.

a = 5.1660 Å, b = 5.1843 Å, c = 10.4176 Å
α = 90.00°, β = 90.15°, γ = 90.00°
Closest atoms and distances in Å follow each position.
Element x y z (fractional)
La (0.0000, 0.0000, 0.0000)  4 Dy 3.66, 8 Nd 3.67
La (0.5000, 0.5000, 0.5000)  4 Tb 3.66, 8 Nd 3.67-3.68
Tb (0.0000, 0.0000, 0.5000)  4 La 3.66, 8 Nd 3.66-3.68
Nd (0.0006, 0.5000, 0.7508)  2 Dy 3.66-3.67, 4 Nd 3.66, 4 La 3.67-3.68, 2 Tb 3.68
Nd (0.5000, 0.0000, 0.2503)  4 Nd 3.66, 2 Tb 3.66-3.67, 4 La 3.67, 2 Dy 3.68
Nd (0.5000, 0.0000, 0.7497)  4 Nd 3.66, 2 Tb 3.66-3.67, 4 La 3.67, 2 Dy 3.68
Nd (0.9994, 0.5000, 0.2492)  2 Dy 3.66-3.67, 4 Nd 3.66, 4 La 3.67-3.68, 2 Tb 3.68
Dy (0.5000, 0.5000, 0.0000)  8 Nd 3.66-3.68, 4 La 3.66

* energy: -37.98 eV/cell
* space-group type: P2/m (10)


## NaTbCd4 (PBE)

Data for crystalline NaTbCd4 at its relaxed geometry.

a = 5.9316 Å, b = 5.9316 Å, c = 5.9316 Å
α = 60.00°, β = 60.00°, γ = 60.00°
Closest atoms and distances in Å follow each position.
Element x y z (fractional)
Na (0.0000, 0.0000, 0.0000)  12 Cd 3.48, 4 Tb 3.63
Tb (0.7500, 0.7500, 0.7500)  12 Cd 3.48, 4 Na 3.63
Cd (0.3751, 0.3751, 0.3751)  6 Cd 2.96-2.97
Cd (0.3751, 0.3751, 0.8746)  6 Cd 2.96-2.97
Cd (0.3751, 0.8746, 0.3751)  6 Cd 2.96-2.97
Cd (0.8746, 0.3751, 0.3751)  6 Cd 2.96-2.97

* energy: -10.45 eV/cell
* space-group type: F-43m (216)


Number 1: M_tot 0.000 Bohr magnetons per cell. Number 2: M_tot 2.030 Bohr magnetons per cell. Number 3: M_tot 0.000 Bohr magnetons per cell. Number 4: M_tot 0.000 Bohr magnetons per cell. Number 5: M_tot 0.094 Bohr magnetons per cell. Number 6: M_tot 0.000 Bohr magnetons per cell. Number 7: M_tot 2.345 Bohr magnetons per cell. Number 8: M_tot 0.000 Bohr magnetons per cell. Number 9: M_tot 0.000 Bohr magnetons per cell. Number 10: M_tot 4.238 Bohr magnetons per cell. Number 11: M_tot 0.000 Bohr magnetons per cell. Number 12: M_tot 0.000 Bohr magnetons per cell.